! Tl2PSe (GGA-PBEsol, optimized geometry); values from VASP
! Uncorrected formation energy = 0.093 eV per atom
! Calculated total energy = -3.633 eV per atom
&SYSTEM
  ibrav = 0, nat = 4, ntyp = 3
/
ATOMIC_SPECIES
P 30.97 P.upf
Se 78.96 Se.upf
Tl 204.38 Tl.upf
CELL_PARAMETERS angstrom
4.136 0.000 0.000
0.000 4.544 0.000
-2.068 0.000 5.864
ATOMIC_POSITIONS crystal
P 0.787 0.000 0.574
Se 0.703 0.500 0.406
Tl 0.104 0.000 0.208
Tl 0.400 0.500 0.799

=====

! TlV6PSe7 (GGA-PBEsol, optimized geometry); values from VASP
! Uncorrected formation energy = -0.756 eV per atom
! Calculated total energy = -6.968 eV per atom
&SYSTEM
  ibrav = 0, nat = 15, ntyp = 4
/
ATOMIC_SPECIES
Tl 204.38 Tl.upf
V 50.94 V.upf
P 30.97 P.upf
Se 78.96 Se.upf
CELL_PARAMETERS angstrom
-0.529 -0.606 -3.212
-7.835 -4.747 2.187
-0.416 9.258 -1.678
ATOMIC_POSITIONS crystal
Tl 0.722 0.000 0.000
V 0.234 0.870 0.376
V 0.234 0.506 0.130
V 0.234 0.624 0.494
V 0.734 0.119 0.631
V 0.734 0.513 0.881
V 0.734 0.369 0.487
P 0.734 0.667 0.333
Se 0.234 0.718 0.055
Se 0.234 0.337 0.282
Se 0.234 0.945 0.663
Se 0.734 0.298 0.952
Se 0.734 0.654 0.702
Se 0.734 0.048 0.346
Se 0.234 0.333 0.667

=====

! UPSe (GGA-PBEsol, optimized geometry); values from VASP
! Uncorrected formation energy = -0.939 eV per atom
! Calculated total energy = -8.205 eV per atom
&SYSTEM
  ibrav = 0, nat = 6, ntyp = 3
/
ATOMIC_SPECIES
U 238.03 U.upf
P 30.97 P.upf
Se 78.96 Se.upf
CELL_PARAMETERS angstrom
-0.380 -3.792 0.269
1.617 -0.406 -3.437
7.269 -0.481 3.478
ATOMIC_POSITIONS crystal
U 0.000 0.500 0.740
U 0.500 0.000 0.260
P 0.500 0.500 0.000
P 0.000 0.000 0.000
Se 0.500 0.000 0.635
Se 0.000 0.500 0.365

=====

! P3WSe (GGA-PBEsol, optimized geometry); values from VASP
! Uncorrected formation energy = 0.594 eV per atom
! Calculated total energy = -6.413 eV per atom
&SYSTEM
  ibrav = 0, nat = 5, ntyp = 3
/
ATOMIC_SPECIES
P 30.97 P.upf
Se 78.96 Se.upf
W 183.84 W.upf
CELL_PARAMETERS angstrom
4.641 0.000 0.000
0.000 4.641 0.000
0.000 0.000 4.641
ATOMIC_POSITIONS crystal
P 0.000 0.500 0.000
P 0.000 0.000 0.500
P 0.500 0.000 0.000
Se 0.500 0.500 0.500
W 0.000 0.000 0.000

=====

! YP2Se (GGA-PBEsol, optimized geometry); values from VASP
! Uncorrected formation energy = -0.541 eV per atom
! Calculated total energy = -6.105 eV per atom
&SYSTEM
  ibrav = 0, nat = 4, ntyp = 3
/
ATOMIC_SPECIES
P 30.97 P.upf
Se 78.96 Se.upf
Y 88.91 Y.upf
CELL_PARAMETERS angstrom
-2.407 -1.819 -2.323
2.168 -3.124 0.201
-2.759 -1.648 4.149
ATOMIC_POSITIONS crystal
P 0.000 0.500 0.000
P 0.500 0.000 0.000
Se 0.500 0.500 0.500
Y 0.000 0.000 0.500

=====

! YP2Se (GGA-PBEsol, optimized geometry); values from VASP
! Uncorrected formation energy = -0.669 eV per atom
! Calculated total energy = -6.232 eV per atom
&SYSTEM
  ibrav = 0, nat = 4, ntyp = 3
/
ATOMIC_SPECIES
P 30.97 P.upf
Se 78.96 Se.upf
Y 88.91 Y.upf
CELL_PARAMETERS angstrom
3.658 0.000 0.000
0.000 3.976 0.009
0.000 -1.868 5.490
ATOMIC_POSITIONS crystal
P 0.000 0.076 0.202
P 0.000 0.924 0.798
Se 0.500 0.500 0.500
Y 0.500 0.500 0.000

=====

! YP2Se (GGA-PBEsol, optimized geometry); values from VASP
! Uncorrected formation energy = -0.604 eV per atom
! Calculated total energy = -6.168 eV per atom
&SYSTEM
  ibrav = 0, nat = 4, ntyp = 3
/
ATOMIC_SPECIES
P 30.97 P.upf
Se 78.96 Se.upf
Y 88.91 Y.upf
CELL_PARAMETERS angstrom
3.900 0.000 0.000
0.000 3.900 0.000
-1.950 -1.950 4.836
ATOMIC_POSITIONS crystal
P 0.750 0.250 0.500
P 0.250 0.750 0.500
Se 0.500 0.500 0.000
Y 0.000 0.000 0.000

=====

! ZnP2Se2 (GGA-PBEsol, optimized geometry); values from VASP
! Uncorrected formation energy = 0.207 eV per atom
! Calculated total energy = -3.966 eV per atom
&SYSTEM
  ibrav = 0, nat = 5, ntyp = 3
/
ATOMIC_SPECIES
P 30.97 P.upf
Se 78.96 Se.upf
Zn 65.41 Zn.upf
CELL_PARAMETERS angstrom
5.145 0.000 0.000
-2.572 4.622 0.174
0.000 2.698 4.380
ATOMIC_POSITIONS crystal
P 0.295 0.590 0.705
P 0.705 0.410 0.295
Se 0.750 0.500 0.750
Se 0.250 0.500 0.250
Zn 0.000 0.000 0.000

=====

! Zn4PSe (GGA-PBEsol, optimized geometry); values from VASP
! Uncorrected formation energy = 0.305 eV per atom
! Calculated total energy = -2.356 eV per atom
&SYSTEM
  ibrav = 0, nat = 6, ntyp = 3
/
ATOMIC_SPECIES
P 30.97 P.upf
Se 78.96 Se.upf
Zn 65.41 Zn.upf
CELL_PARAMETERS angstrom
-2.191 -0.381 4.623
-0.099 -4.519 2.427
2.906 -0.741 4.163
ATOMIC_POSITIONS crystal
P 0.750 0.750 0.750
Se 0.000 0.000 0.000
Zn 0.375 0.375 0.375
Zn 0.375 0.375 0.874
Zn 0.874 0.375 0.375
Zn 0.375 0.874 0.375

=====

! ZnPSe (GGA-PBEsol, optimized geometry); values from VASP
! Uncorrected formation energy = 0.341 eV per atom
! Calculated total energy = -3.400 eV per atom
&SYSTEM
  ibrav = 0, nat = 3, ntyp = 3
/
ATOMIC_SPECIES
P 30.97 P.upf
Zn 65.41 Zn.upf
Se 78.96 Se.upf
CELL_PARAMETERS angstrom
-1.154 3.696 -1.894
-4.166 1.073 -0.273
-1.550 3.247 2.375
ATOMIC_POSITIONS crystal
P 0.000 0.000 0.000
Zn 0.750 0.750 0.750
Se 0.500 0.500 0.500

=====

! ZnP2Se (GGA-PBEsol, optimized geometry); values from VASP
! Uncorrected formation energy = 0.453 eV per atom
! Calculated total energy = -3.800 eV per atom
&SYSTEM
  ibrav = 0, nat = 4, ntyp = 3
/
ATOMIC_SPECIES
P 30.97 P.upf
Se 78.96 Se.upf
Zn 65.41 Zn.upf
CELL_PARAMETERS angstrom
-2.630 0.224 1.582
-0.559 -4.476 -0.297
2.282 -0.541 3.871
ATOMIC_POSITIONS crystal
P 0.000 0.000 0.000
P 0.500 0.500 0.000
Se 0.500 0.000 0.500
Zn 0.000 0.500 0.500

=====

! ZnPSe2 (GGA-PBEsol, optimized geometry); values from VASP
! Uncorrected formation energy = 0.187 eV per atom
! Calculated total energy = -3.581 eV per atom
&SYSTEM
  ibrav = 0, nat = 4, ntyp = 3
/
ATOMIC_SPECIES
P 30.97 P.upf
Se 78.96 Se.upf
Zn 65.41 Zn.upf
CELL_PARAMETERS angstrom
-0.759 3.327 -0.800
-3.405 -0.853 -0.318
-1.003 1.430 6.899
ATOMIC_POSITIONS crystal
P 0.000 0.500 0.500
Se 0.000 0.000 0.000
Se 0.500 0.000 0.500
Zn 0.500 0.500 0.000

=====

! ZnPSe2 (GGA-PBEsol, optimized geometry); values from VASP
! Uncorrected formation energy = 0.349 eV per atom
! Calculated total energy = -3.420 eV per atom
&SYSTEM
  ibrav = 0, nat = 4, ntyp = 3
/
ATOMIC_SPECIES
P 30.97 P.upf
Se 78.96 Se.upf
Zn 65.41 Zn.upf
CELL_PARAMETERS angstrom
-2.949 -0.346 -1.272
0.318 -3.212 0.135
-2.612 -0.004 6.056
ATOMIC_POSITIONS crystal
P 0.500 0.500 0.500
Se 0.000 0.000 0.745
Se 0.000 0.000 0.255
Zn 0.500 0.500 0.000

=====

! ZnP2Se (GGA-PBEsol, optimized geometry); values from VASP
! Uncorrected formation energy = 0.291 eV per atom
! Calculated total energy = -3.962 eV per atom
&SYSTEM
  ibrav = 0, nat = 4, ntyp = 3
/
ATOMIC_SPECIES
P 30.97 P.upf
Se 78.96 Se.upf
Zn 65.41 Zn.upf
CELL_PARAMETERS angstrom
-0.558 0.708 3.251
3.028 -1.257 0.794
1.805 7.003 -2.965
ATOMIC_POSITIONS crystal
P 0.750 0.250 0.500
P 0.250 0.750 0.500
Se 0.500 0.500 0.000
Zn 0.000 0.000 0.000

=====

! ZnPSe (GGA-PBEsol, optimized geometry); values from VASP
! Uncorrected formation energy = 0.102 eV per atom
! Calculated total energy = -3.639 eV per atom
&SYSTEM
  ibrav = 0, nat = 3, ntyp = 3
/
ATOMIC_SPECIES
P 30.97 P.upf
Zn 65.41 Zn.upf
Se 78.96 Se.upf
CELL_PARAMETERS angstrom
3.460 0.000 0.000
0.000 3.460 0.000
-1.730 -1.730 5.179
ATOMIC_POSITIONS crystal
P 0.104 0.104 0.208
Zn 0.581 0.581 0.162
Se 0.315 0.315 0.630

=====

! ZnPSe (GGA-PBEsol, optimized geometry); values from VASP
! Uncorrected formation energy = 0.438 eV per atom
! Calculated total energy = -3.303 eV per atom
&SYSTEM
  ibrav = 0, nat = 3, ntyp = 3
/
ATOMIC_SPECIES
P 30.97 P.upf
Zn 65.41 Zn.upf
Se 78.96 Se.upf
CELL_PARAMETERS angstrom
4.328 0.000 0.000
2.164 3.748 0.000
2.164 1.249 3.534
ATOMIC_POSITIONS crystal
P 0.750 0.750 0.750
Zn 0.500 0.500 0.500
Se 0.000 0.000 0.000

=====

! ZrPSe2 (GGA-PBEsol, optimized geometry); values from VASP
! Uncorrected formation energy = 0.033 eV per atom
! Calculated total energy = -5.612 eV per atom
&SYSTEM
  ibrav = 0, nat = 4, ntyp = 3
/
ATOMIC_SPECIES
P 30.97 P.upf
Se 78.96 Se.upf
Zr 91.22 Zr.upf
CELL_PARAMETERS angstrom
-2.341 2.390 0.916
-1.430 -0.094 3.159
4.783 5.578 4.235
ATOMIC_POSITIONS crystal
P 0.500 0.500 0.500
Se 0.895 0.895 0.316
Se 0.105 0.105 0.684
Zr 0.000 0.000 0.000

=====

! ZrPSe (GGA-PBEsol, optimized geometry); values from VASP
! Uncorrected formation energy = -0.595 eV per atom
! Calculated total energy = -6.839 eV per atom
&SYSTEM
  ibrav = 0, nat = 3, ntyp = 3
/
ATOMIC_SPECIES
P 30.97 P.upf
Se 78.96 Se.upf
Zr 91.22 Zr.upf
CELL_PARAMETERS angstrom
3.111 0.017 0.000
-0.714 3.028 0.000
-1.198 -1.522 6.536
ATOMIC_POSITIONS crystal
P 0.968 0.968 0.937
Se 0.694 0.694 0.388
Zr 0.338 0.338 0.675

=====

! ZrPSe2 (GGA-PBEsol, optimized geometry); values from VASP
! Uncorrected formation energy = -0.440 eV per atom
! Calculated total energy = -6.086 eV per atom
&SYSTEM
  ibrav = 0, nat = 4, ntyp = 3
/
ATOMIC_SPECIES
P 30.97 P.upf
Se 78.96 Se.upf
Zr 91.22 Zr.upf
CELL_PARAMETERS angstrom
-0.315 -3.108 -1.314
2.765 -1.805 -0.764
0.818 -4.817 6.824
ATOMIC_POSITIONS crystal
P 0.249 0.249 0.254
Se 0.983 0.983 0.050
Se 0.766 0.766 0.702
Zr 0.502 0.502 0.493

=====

! ZrPSe2 (GGA-PBEsol, optimized geometry); values from VASP
! Uncorrected formation energy = -0.434 eV per atom
! Calculated total energy = -6.079 eV per atom
&SYSTEM
  ibrav = 0, nat = 4, ntyp = 3
/
ATOMIC_SPECIES
P 30.97 P.upf
Se 78.96 Se.upf
Zr 91.22 Zr.upf
CELL_PARAMETERS angstrom
-3.636 -0.113 1.028
0.997 -1.719 3.215
0.532 4.822 2.414
ATOMIC_POSITIONS crystal
P 0.000 0.000 0.500
Se 0.744 0.256 0.000
Se 0.256 0.744 0.000
Zr 0.500 0.500 0.500

=====

! SiP2 (GGA-PBEsol, optimized geometry); values from VASP
! Uncorrected formation energy = -0.108 eV per atom
! Calculated total energy = -5.884 eV per atom
&SYSTEM
  ibrav = 0, nat = 24, ntyp = 2
/
ATOMIC_SPECIES
P 30.97 P.upf
Si 28.09 Si.upf
CELL_PARAMETERS angstrom
3.436 0.000 0.000
0.000 9.643 0.000
0.000 0.000 14.075
ATOMIC_POSITIONS crystal
P 0.000 0.649 0.297
P 0.000 0.351 0.703
P 0.000 0.149 0.203
P 0.000 0.851 0.797
P 0.000 0.769 0.047
P 0.000 0.231 0.953
P 0.000 0.269 0.453
P 0.000 0.731 0.547
P 0.500 0.886 0.114
P 0.500 0.114 0.886
P 0.500 0.386 0.386
P 0.500 0.614 0.614
P 0.500 0.941 0.395
P 0.500 0.059 0.605
P 0.500 0.441 0.105
P 0.500 0.559 0.895
Si 0.000 0.580 0.144
Si 0.000 0.420 0.856
Si 0.000 0.080 0.356
Si 0.000 0.920 0.644
Si 0.500 0.795 0.268
Si 0.500 0.205 0.732
Si 0.500 0.295 0.232
Si 0.500 0.705 0.768

=====

! SiP5 (GGA-PBEsol, optimized geometry); values from VASP
! Uncorrected formation energy = 0.519 eV per atom
! Calculated total energy = -5.265 eV per atom
&SYSTEM
  ibrav = 0, nat = 6, ntyp = 2
/
ATOMIC_SPECIES
P 30.97 P.upf
Si 28.09 Si.upf
CELL_PARAMETERS angstrom
-0.607 -0.754 -2.175
1.815 -1.540 0.028
-9.357 -10.909 6.395
ATOMIC_POSITIONS crystal
P 0.000 0.000 0.842
P 0.000 0.000 0.158
P 0.500 0.500 0.666
P 0.500 0.500 0.334
P 0.000 0.000 0.500
Si 0.500 0.500 0.000

=====

! Si3P (GGA-PBEsol, optimized geometry); values from VASP
! Uncorrected formation energy = 0.447 eV per atom
! Calculated total energy = -5.311 eV per atom
&SYSTEM
  ibrav = 0, nat = 4, ntyp = 2
/
ATOMIC_SPECIES
P 30.97 P.upf
Si 28.09 Si.upf
CELL_PARAMETERS angstrom
-0.023 2.482 -1.036
-2.161 -0.935 1.299
3.224 3.241 7.694
ATOMIC_POSITIONS crystal
P 0.000 0.000 0.000
Si 0.000 0.000 0.500
Si 0.333 0.667 0.752
Si 0.333 0.667 0.248

=====

! Si3P5 (GGA-PBEsol, optimized geometry); values from VASP
! Uncorrected formation energy = 0.431 eV per atom
! Calculated total energy = -5.343 eV per atom
&SYSTEM
  ibrav = 0, nat = 8, ntyp = 2
/
ATOMIC_SPECIES
P 30.97 P.upf
Si 28.09 Si.upf
CELL_PARAMETERS angstrom
-0.718 -3.307 -3.383
-2.103 -2.951 3.331
-4.110 2.321 -1.397
ATOMIC_POSITIONS crystal
P 0.000 0.000 0.000
P 0.000 0.000 0.500
P 0.000 0.500 0.000
P 0.500 0.320 0.320
P 0.500 0.680 0.680
Si 0.000 0.500 0.500
Si 0.500 0.818 0.182
Si 0.500 0.182 0.818

=====

! Si3P (GGA-PBEsol, optimized geometry); values from VASP
! Uncorrected formation energy = 0.240 eV per atom
! Calculated total energy = -5.517 eV per atom
&SYSTEM
  ibrav = 0, nat = 8, ntyp = 2
/
ATOMIC_SPECIES
P 30.97 P.upf
Si 28.09 Si.upf
CELL_PARAMETERS angstrom
4.295 0.000 0.000
0.000 5.523 -0.003
0.000 -1.760 5.235
ATOMIC_POSITIONS crystal
P 0.250 0.460 0.540
P 0.750 0.540 0.460
Si 0.750 0.932 0.068
Si 0.250 0.068 0.932
Si 0.750 0.980 0.595
Si 0.250 0.020 0.405
Si 0.750 0.405 0.020
Si 0.250 0.595 0.980

=====

! SiP2 (GGA-PBEsol, optimized geometry); values from VASP
! Uncorrected formation energy = -0.189 eV per atom
! Calculated total energy = -5.965 eV per atom
&SYSTEM
  ibrav = 0, nat = 12, ntyp = 2
/
ATOMIC_SPECIES
P 30.97 P.upf
Si 28.09 Si.upf
CELL_PARAMETERS angstrom
5.690 0.000 0.000
0.000 5.690 0.000
0.000 0.000 5.690
ATOMIC_POSITIONS crystal
P 0.390 0.390 0.390
P 0.110 0.610 0.890
P 0.610 0.890 0.110
P 0.890 0.110 0.610
P 0.610 0.610 0.610
P 0.890 0.390 0.110
P 0.390 0.110 0.890
P 0.110 0.890 0.390
Si 0.000 0.000 0.000
Si 0.500 0.000 0.500
Si 0.000 0.500 0.500
Si 0.500 0.500 0.000

=====

! SrSiSnP2 (GGA-PBEsol, optimized geometry); values from VASP
! Uncorrected formation energy = 0.909 eV per atom
! Calculated total energy = -3.777 eV per atom
&SYSTEM
  ibrav = 0, nat = 5, ntyp = 4
/
ATOMIC_SPECIES
Sr 87.62 Sr.upf
Si 28.09 Si.upf
Sn 118.71 Sn.upf
P 30.97 P.upf
CELL_PARAMETERS angstrom
-4.175 -2.140 -1.616
1.014 -4.028 2.714
-2.980 2.345 4.593
ATOMIC_POSITIONS crystal
Sr 0.000 0.000 0.500
Si 0.500 0.500 0.500
Sn 0.000 0.000 0.000
P 0.000 0.500 0.000
P 0.500 0.000 0.000